Record 1
Zr2ZnAu6: relaxed, GGA-PBE.

abc: 8.806 8.806 5.028
angles: 90.37 90.37 120.51
Fractional positions:
Zr1 0.162 0.338 0.000
Zr2 0.338 0.162 0.500
Zr3 0.662 0.838 0.500
Zr4 0.838 0.662 0.000
Zn1 0.250 0.750 0.250
Zn2 0.750 0.250 0.750
Au1 0.001 0.168 0.501
Au2 0.087 0.587 0.755
Au3 0.168 0.001 0.001
Au4 0.332 0.499 0.499
Au5 0.413 0.913 0.745
Au6 0.499 0.332 0.999
Au7 0.501 0.668 0.001
Au8 0.587 0.087 0.255
Au9 0.668 0.501 0.501
Au10 0.832 0.999 0.999
Au11 0.913 0.413 0.245
Au12 0.999 0.832 0.499

symmetry	No. 15
VASP energy	-0.17101	hartree per atom

Record 2
Zr3Zn2Au: relaxed, GGA-PBE.

abc: 3.331 3.331 10.383
angles: 90.00 90.00 90.00
Fractional positions:
Zr1 0.000 0.000 0.000
Zr2 0.000 0.000 0.324
Zr3 0.000 0.000 0.676
Zn1 0.500 0.500 0.162
Zn2 0.500 0.500 0.838
Au1 0.500 0.500 0.500

symmetry	No. 123
VASP energy	-0.20491	hartree per atom

Record 3
Zr2Zn2Au: relaxed, GGA-PBE.

abc: 7.942 7.942 3.177
angles: 90.00 90.00 90.00
Fractional positions:
Zr1 0.180 0.320 0.000
Zr2 0.320 0.820 0.000
Zr3 0.680 0.180 0.000
Zr4 0.820 0.680 0.000
Zn1 0.115 0.615 0.500
Zn2 0.385 0.115 0.500
Zn3 0.615 0.885 0.500
Zn4 0.885 0.385 0.500
Au1 0.000 0.000 0.000
Au2 0.500 0.500 0.000

symmetry	No. 127
VASP energy	-0.16710	hartree per atom

Record 4
Zr4Zn5Au: relaxed, GGA-PBE.

abc: 7.851 7.851 5.718
angles: 96.41 96.41 31.54
Fractional positions:
Zr1 0.112 0.112 0.256
Zr2 0.314 0.314 0.134
Zr3 0.686 0.686 0.866
Zr4 0.888 0.888 0.744
Zn1 0.075 0.075 0.744
Zn2 0.263 0.263 0.628
Zn3 0.500 0.500 0.000
Zn4 0.737 0.737 0.372
Zn5 0.925 0.925 0.256
Au1 0.500 0.500 0.500

symmetry	No. 12
VASP energy	-0.17168	hartree per atom

Record 5
Zr3ZnAu: relaxed, GGA-PBE.

abc: 4.925 4.925 4.925
angles: 90.00 90.00 90.00
Fractional positions:
Zr1 0.000 0.000 0.500
Zr2 0.000 0.500 0.000
Zr3 0.500 0.000 0.000
Zn1 0.000 0.000 0.000
Au1 0.500 0.500 0.500

symmetry	No. 221
VASP energy	-0.20201	hartree per atom

Record 6
Zr2ZnAu: relaxed, GGA-PBE.

abc: 3.115 4.054 6.115
angles: 90.00 90.11 90.00
Fractional positions:
Zr1 0.000 0.000 0.245
Zr2 0.000 0.000 0.755
Zn1 0.500 0.500 0.000
Au1 0.500 0.500 0.500

symmetry	No. 10
VASP energy	-0.21220	hartree per atom